First-principles (PBE) data for a relaxed Pr7Pd2Ru2 crystal, as listed in the Alexandria database.

The density of states at the Fermi level comes out at 0.63 states/eV per atom. The energy of formation comes out at -0.23 eV/atom. The calculation puts the magnetic moment at 0.000 μB/atom.

The space group is Cmmm (No. 65) and the conventional cell measures 8.072, 11.252 and 7.075 Å, with angles of 90.00, 90.00 and 90.00 degrees. The inequivalent atoms are Pr at (0.000, 0.000, 0.000), Pr at (0.000, 0.500, 0.254), Pr at (0.250, 0.250, 0.265), Pd at (0.181, 0.000, 0.500) and Ru at (0.000, 0.294, 0.000).

First-principles (PBE) data for a relaxed PrPdRu crystal, as listed in the Alexandria database.

The density of states at the Fermi level comes out at 0.72 states/eV per atom. The energy of formation comes out at -0.13 eV/atom. The calculation puts the magnetic moment at 0.000 μB/atom.

The space group is C2/m (No. 12) and the conventional cell measures 8.986, 5.748 and 5.031 Å, with angles of 90.00, 109.21 and 90.00 degrees. The inequivalent atoms are Pr at (0.138, 0.000, 0.376), Pd at (0.250, 0.250, 0.000) and Ru at (0.015, 0.500, 0.271).

First-principles (PBE) data for a relaxed PrScPdRu crystal, as listed in the Alexandria database.

The density of states at the Fermi level comes out at 0.61 states/eV per atom. The energy of formation comes out at -0.49 eV/atom. The calculation puts the magnetic moment at 0.000 μB/atom.

The space group is F-43m (No. 216) and the conventional cell measures 6.866, 6.866 and 6.866 Å, with angles of 90.00, 90.00 and 90.00 degrees. The inequivalent atoms are Pr at (0.000, 0.000, 0.000), Sc at (0.000, 0.000, 0.500), Pd at (0.250, 0.250, 0.250) and Ru at (0.250, 0.250, 0.750).

First-principles (PBE) data for a relaxed PrSnPdRu crystal, as listed in the Alexandria database.

The density of states at the Fermi level comes out at 0.88 states/eV per atom. The energy of formation comes out at -0.39 eV/atom. The calculation puts the magnetic moment at 0.000 μB/atom.

The space group is F-43m (No. 216) and the conventional cell measures 6.858, 6.858 and 6.858 Å, with angles of 90.00, 90.00 and 90.00 degrees. The inequivalent atoms are Pr at (0.000, 0.000, 0.000), Sn at (0.000, 0.000, 0.500), Pd at (0.250, 0.250, 0.750) and Ru at (0.250, 0.250, 0.250).